Ba2Ir3Cl3 | OQMD | PBE-GGA | optimized geometry; magnetic moment = 1.3 μB/f.u.; total DFT energy (no corrections) = -36.5 eV for the cell shown
1.0
3.679 0.000 0.000
0.000 3.679 0.000
0.000 0.000 17.024
Ba Cl Ir
2 3 3
direct
0.500 0.000 0.337
0.000 0.500 0.663
0.000 0.000 0.000
0.000 0.000 0.792
0.000 0.000 0.208
0.500 0.500 0.500
0.000 0.000 0.500
0.500 0.500 0.000


Ba3TaN3Cl2 | OQMD | PBE-GGA | optimized geometry; magnetic moment = 0.0 μB/f.u.; total DFT energy (no corrections) = -362.6 eV for the cell shown
1.0
15.128 0.000 0.000
-7.564 13.101 0.000
0.000 0.000 6.416
Ba Cl N Ta
18 12 18 6
direct
0.159 0.689 0.564
0.159 0.470 0.064
0.311 0.470 0.564
0.000 0.802 0.996
0.689 0.159 0.564
0.470 0.159 0.064
0.530 0.689 0.064
0.841 0.311 0.064
0.689 0.530 0.064
0.841 0.530 0.564
0.470 0.311 0.564
0.530 0.841 0.564
0.311 0.841 0.064
0.000 0.198 0.496
0.198 0.000 0.496
0.802 0.802 0.496
0.802 0.000 0.996
0.198 0.198 0.996
0.333 0.667 0.803
0.000 0.229 0.000
0.667 0.333 0.303
0.771 0.771 0.000
0.333 0.667 0.303
0.000 0.000 0.749
0.000 0.000 0.249
0.667 0.333 0.803
0.771 0.000 0.500
0.229 0.229 0.500
0.229 0.000 0.000
0.000 0.771 0.500
0.403 0.115 0.487
0.486 0.486 0.307
0.288 0.885 0.487
0.000 0.486 0.807
0.115 0.712 0.987
0.885 0.288 0.487
0.115 0.403 0.487
0.712 0.597 0.487
0.597 0.885 0.987
0.486 0.000 0.807
0.597 0.712 0.487
0.288 0.403 0.987
0.000 0.514 0.307
0.514 0.000 0.307
0.403 0.288 0.987
0.514 0.514 0.807
0.885 0.597 0.987
0.712 0.115 0.987
0.577 0.000 0.030
0.000 0.423 0.530
0.577 0.577 0.530
0.423 0.423 0.030
0.423 0.000 0.530
0.000 0.577 0.030


BaNiCl4 | OQMD | PBE-GGA | optimized geometry; magnetic moment = 1.6 μB/f.u.; total DFT energy (no corrections) = -47.6 eV for the cell shown
1.0
2.573 -8.551 0.000
2.573 8.551 0.000
0.000 0.000 6.587
Cl Ba Ni
8 2 2
direct
0.830 0.170 0.497
0.420 0.580 0.225
0.025 0.975 0.395
0.580 0.420 0.725
0.201 0.799 0.511
0.170 0.830 0.997
0.975 0.025 0.895
0.799 0.201 0.011
0.366 0.634 0.758
0.634 0.366 0.258
0.908 0.092 0.216
0.092 0.908 0.716


Ba5Os3ClO15 | OQMD | PBE-GGA | optimized geometry; magnetic moment = 3.0 μB/f.u.; total DFT energy (no corrections) = -330.9 eV for the cell shown
1.0
-7.693 7.058 -3.125
-2.398 -7.856 7.162
1.974 4.751 5.872
O Os Ba Cl
30 6 10 2
direct
0.746 0.133 0.433
0.131 0.552 0.252
0.421 0.552 0.752
0.254 0.867 0.933
0.710 0.710 0.606
0.613 0.746 0.933
0.579 0.131 0.752
0.000 0.290 0.606
0.290 0.000 0.606
0.133 0.387 0.933
0.552 0.421 0.752
0.254 0.387 0.433
0.131 0.579 0.752
0.867 0.613 0.433
0.387 0.254 0.433
0.448 0.579 0.252
0.552 0.131 0.252
0.869 0.448 0.752
0.579 0.448 0.252
0.746 0.613 0.933
0.290 0.290 0.106
0.387 0.133 0.933
0.000 0.710 0.106
0.421 0.869 0.252
0.613 0.867 0.433
0.133 0.746 0.433
0.867 0.254 0.933
0.710 0.000 0.106
0.448 0.869 0.752
0.869 0.421 0.252
0.000 0.612 0.284
0.388 0.000 0.784
0.612 0.000 0.284
0.612 0.612 0.784
0.388 0.388 0.284
0.000 0.388 0.784
0.260 0.000 0.234
0.667 0.333 0.498
0.740 0.000 0.734
0.260 0.260 0.734
0.000 0.260 0.234
0.740 0.740 0.234
0.333 0.667 0.998
0.667 0.333 0.998
0.000 0.740 0.734
0.333 0.667 0.498
0.000 0.000 0.963
0.000 0.000 0.463


Ba4Os6ClO18 | OQMD | PBE-GGA | optimized geometry; magnetic moment = 1.0 μB/f.u.; total DFT energy (no corrections) = -213.3 eV for the cell shown
1.0
4.689 4.689 -4.689
4.689 -4.689 4.689
-4.689 -4.689 -4.689
O Os Cl Ba
18 6 1 4
direct
0.000 0.336 0.336
0.344 0.068 0.696
0.648 0.304 0.373
0.932 0.276 0.627
0.724 0.656 0.352
0.276 0.627 0.932
0.373 0.648 0.304
0.696 0.344 0.068
0.068 0.696 0.344
0.664 0.000 0.664
0.336 0.000 0.336
0.627 0.932 0.276
0.656 0.352 0.724
0.664 0.664 0.000
0.336 0.336 0.000
0.304 0.373 0.648
0.352 0.724 0.656
0.000 0.664 0.664
0.866 0.500 0.366
0.500 0.366 0.866
0.134 0.500 0.634
0.500 0.634 0.134
0.366 0.866 0.500
0.634 0.134 0.500
0.000 0.000 0.000
0.630 0.630 0.630
0.000 0.370 0.000
0.000 0.000 0.370
0.370 0.000 0.000


Ba2ZnSe2Cl2O6 | OQMD | PBE-GGA | optimized geometry; total DFT energy (no corrections) = -136.0 eV for the cell shown
1.0
6.780 0.000 0.000
0.000 12.630 0.000
0.000 0.000 5.414
Ba Cl O Zn Se
4 4 12 2 4
direct
0.801 0.231 0.000
0.199 0.769 0.000
0.301 0.269 0.500
0.699 0.731 0.500
0.175 0.398 0.000
0.825 0.602 0.000
0.675 0.102 0.500
0.325 0.898 0.500
0.101 0.110 0.241
0.399 0.610 0.741
0.418 0.175 0.000
0.601 0.390 0.259
0.582 0.825 0.000
0.899 0.890 0.759
0.918 0.325 0.500
0.082 0.675 0.500
0.601 0.390 0.741
0.899 0.890 0.241
0.101 0.110 0.759
0.399 0.610 0.259
0.500 0.500 0.000
0.000 0.000 0.500
0.744 0.928 0.000
0.244 0.572 0.500
0.756 0.428 0.500
0.256 0.072 0.000